Entry 1:
The following is a PBE calculation of a relaxed structure of NiHgOs2, from Alexandria.

## Properties
Its calculated volume is 15.1 A^3/atom. Its formation energy is 0.61 eV/atom. Its total magnetization is 0.05 μB/atom.

The structure in CIF format:
```
data_NiHgOs2
_chemical_formula_sum 'Ni3 Hg3 Os6'
_cell_length_a 2.7710
_cell_length_b 2.7710
_cell_length_c 27.3331
_cell_angle_alpha 90.00
_cell_angle_beta 90.00
_cell_angle_gamma 120.00
_space_group_name_H-M_alt 'R -3 m'
_space_group_IT_number 166
_space_group_name_Hall '-R 3 2"'
loop_
_atom_site_label
_atom_site_type_symbol
_atom_site_fract_x
_atom_site_fract_y
_atom_site_fract_z
Ni1 Ni 0.0000 0.0000 0.0000
Hg1 Hg 0.0000 0.0000 0.5000
Os1 Os 0.0000 0.0000 0.2602
```

=====

Entry 2:
The following is a PBE calculation of a relaxed structure of NiHg2Os, from Alexandria.

## Properties
Its calculated volume is 16.8 A^3/atom. Its formation energy is 0.79 eV/atom. The calculation puts the polymorph energy (0 for the lowest one) at 288.6 meV per atom. Its total magnetization is 0.00 μB/atom.

The structure in CIF format:
```
data_NiHg2Os
_chemical_formula_sum 'Ni2 Hg4 Os2'
_cell_length_a 2.934
_cell_length_b 4.906
_cell_length_c 9.321
_cell_angle_alpha 90.00
_cell_angle_beta 90.00
_cell_angle_gamma 90.00
_space_group_name_H-M_alt 'I m m m'
_space_group_IT_number 71
_space_group_name_Hall '-I 2 2'
loop_
_atom_site_label
_atom_site_type_symbol
_atom_site_fract_x
_atom_site_fract_y
_atom_site_fract_z
Ni1 Ni 0.000 0.000 0.000
Hg1 Hg 0.000 0.500 0.267
Os1 Os 0.000 0.000 0.500
```

=====

Entry 3:
The following is a PBE calculation of a relaxed structure of NiHg2Os, from Alexandria.

## Properties
Its calculated volume is 16.7 A^3/atom. Its formation energy is 0.67 eV/atom. The calculation puts the polymorph energy (0 for the lowest one) at 170.1 meV per atom. Its total magnetization is 0.06 μB/atom.

The structure in CIF format:
```
data_NiHg2Os
_chemical_formula_sum 'Ni3 Hg6 Os3'
_cell_length_a 2.9367
_cell_length_b 2.9367
_cell_length_c 26.8848
_cell_angle_alpha 90.00
_cell_angle_beta 90.00
_cell_angle_gamma 120.00
_space_group_name_H-M_alt 'R -3 m'
_space_group_IT_number 166
_space_group_name_Hall '-R 3 2"'
loop_
_atom_site_label
_atom_site_type_symbol
_atom_site_fract_x
_atom_site_fract_y
_atom_site_fract_z
Ni1 Ni 0.0000 0.0000 0.0000
Hg1 Hg 0.0000 0.0000 0.2549
Os1 Os 0.0000 0.0000 0.5000
```

=====

Entry 4:
The following is a PBE calculation of a relaxed structure of NiHgOs2, from Alexandria.

## Properties
Its calculated volume is 15.3 A^3/atom. Its formation energy is 0.78 eV/atom. Its total magnetization is 0.06 μB/atom.

The structure in CIF format:
```
data_NiHgOs2
_chemical_formula_sum 'Ni1 Hg1 Os2'
_cell_length_a 2.790
_cell_length_b 4.592
_cell_length_c 4.785
_cell_angle_alpha 90.00
_cell_angle_beta 90.00
_cell_angle_gamma 90.00
_space_group_name_H-M_alt 'P m m m'
_space_group_IT_number 47
_space_group_name_Hall '-P 2 2'
loop_
_atom_site_label
_atom_site_type_symbol
_atom_site_fract_x
_atom_site_fract_y
_atom_site_fract_z
Ni1 Ni 0.000 0.000 0.000
Hg1 Hg 0.500 0.500 0.000
Os1 Os 0.000 0.500 0.500
Os2 Os 0.500 0.000 0.500
```

=====

Entry 5:
The following is a PBE calculation of a relaxed structure of NiHg2Os, from Alexandria.

## Properties
Its calculated volume is 16.9 A^3/atom. Its formation energy is 0.83 eV/atom. The calculation puts the polymorph energy (0 for the lowest one) at 335.2 meV per atom. Its total magnetization is 0.39 μB/atom.

The structure in CIF format:
```
data_NiHg2Os
_chemical_formula_sum 'Ni2 Hg4 Os2'
_cell_length_a 4.082
_cell_length_b 4.082
_cell_length_c 8.121
_cell_angle_alpha 90.00
_cell_angle_beta 90.00
_cell_angle_gamma 90.00
_space_group_name_H-M_alt 'I -4 m 2'
_space_group_IT_number 119
_space_group_name_Hall 'I -4 -2'
loop_
_atom_site_label
_atom_site_type_symbol
_atom_site_fract_x
_atom_site_fract_y
_atom_site_fract_z
Ni1 Ni 0.000 0.000 0.000
Hg1 Hg 0.000 0.000 0.500
Hg2 Hg 0.000 0.500 0.250
Os1 Os 0.000 0.500 0.750
```

=====

Entry 6:
The following is a PBE calculation of a relaxed structure of Ni2HgOs, from Alexandria.

## Properties
Its calculated volume is 14.2 A^3/atom. Its formation energy is 0.26 eV/atom. Its total magnetization is 0.00 μB/atom.

The structure in CIF format:
```
data_Ni2HgOs
_chemical_formula_sum 'Ni2 Hg1 Os1'
_cell_length_a 2.757
_cell_length_b 2.757
_cell_length_c 7.493
_cell_angle_alpha 90.00
_cell_angle_beta 90.00
_cell_angle_gamma 90.00
_space_group_name_H-M_alt 'P 4/m m m'
_space_group_IT_number 123
_space_group_name_Hall '-P 4 2'
loop_
_atom_site_label
_atom_site_type_symbol
_atom_site_fract_x
_atom_site_fract_y
_atom_site_fract_z
Ni1 Ni 0.000 0.000 0.222
Hg1 Hg 0.500 0.500 0.500
Os1 Os 0.500 0.500 0.000
```

=====

Entry 7:
The following is a PBE calculation of a relaxed structure of Ni2HgOs, from Alexandria.

## Properties
Its calculated volume is 14.1 A^3/atom. Its formation energy is 0.46 eV/atom. Its total magnetization is 0.13 μB/atom.

The structure in CIF format:
```
data_Ni2HgOs
_chemical_formula_sum 'Ni2 Hg1 Os1'
_cell_length_a 4.566
_cell_length_b 4.566
_cell_length_c 2.713
_cell_angle_alpha 90.00
_cell_angle_beta 90.00
_cell_angle_gamma 90.00
_space_group_name_H-M_alt 'P 4/m m m'
_space_group_IT_number 123
_space_group_name_Hall '-P 4 2'
loop_
_atom_site_label
_atom_site_type_symbol
_atom_site_fract_x
_atom_site_fract_y
_atom_site_fract_z
Ni1 Ni 0.000 0.500 0.000
Hg1 Hg 0.000 0.000 0.500
Os1 Os 0.500 0.500 0.500
```

=====

Entry 8:
The following is a PBE calculation of a relaxed structure of Ni2HgOs, from Alexandria.

## Properties
Its calculated volume is 14.6 A^3/atom. Its formation energy is 0.47 eV/atom. Its total magnetization is 0.00 μB/atom.

The structure in CIF format:
```
data_Ni2HgOs
_chemical_formula_sum 'Ni4 Hg2 Os2'
_cell_length_a 8.451
_cell_length_b 2.723
_cell_length_c 5.129
_cell_angle_alpha 90.00
_cell_angle_beta 97.96
_cell_angle_gamma 90.00
_space_group_name_H-M_alt 'C 1 2/m 1'
_space_group_IT_number 12
_space_group_name_Hall '-C 2y'
loop_
_atom_site_label
_atom_site_type_symbol
_atom_site_fract_x
_atom_site_fract_y
_atom_site_fract_z
Ni1 Ni 0.244 0.000 0.204
Hg1 Hg 0.000 0.000 0.500
Os1 Os 0.000 0.500 0.000
```

=====

Entry 9:
The following is a PBE calculation of a relaxed structure of NiHgOs2, from Alexandria.

## Properties
Its calculated volume is 15.2 A^3/atom. Its formation energy is 0.77 eV/atom. Its total magnetization is 0.00 μB/atom.

The structure in CIF format:
```
data_NiHgOs2
_chemical_formula_sum 'Ni2 Hg2 Os4'
_cell_length_a 2.861
_cell_length_b 4.672
_cell_length_c 9.101
_cell_angle_alpha 90.00
_cell_angle_beta 90.00
_cell_angle_gamma 90.00
_space_group_name_H-M_alt 'I m m 2'
_space_group_IT_number 44
_space_group_name_Hall 'I 2 -2'
loop_
_atom_site_label
_atom_site_type_symbol
_atom_site_fract_x
_atom_site_fract_y
_atom_site_fract_z
Ni1 Ni 0.000 0.000 0.000
Hg1 Hg 0.000 0.500 0.249
Os1 Os 0.000 0.000 0.474
Os2 Os 0.000 0.500 0.737
```

=====

Entry 10:
The following is a PBE calculation of a relaxed structure of NiHg2Os, from Alexandria.

## Properties
Its calculated volume is 16.7 A^3/atom. Its formation energy is 0.76 eV/atom. The calculation puts the polymorph energy (0 for the lowest one) at 264.7 meV per atom. Its total magnetization is 0.00 μB/atom.

The structure in CIF format:
```
data_NiHg2Os
_chemical_formula_sum 'Ni1 Hg2 Os1'
_cell_length_a 2.836
_cell_length_b 3.962
_cell_length_c 5.961
_cell_angle_alpha 90.00
_cell_angle_beta 90.00
_cell_angle_gamma 90.00
_space_group_name_H-M_alt 'P m m m'
_space_group_IT_number 47
_space_group_name_Hall '-P 2 2'
loop_
_atom_site_label
_atom_site_type_symbol
_atom_site_fract_x
_atom_site_fract_y
_atom_site_fract_z
Ni1 Ni 0.000 0.000 0.000
Hg1 Hg 0.500 0.500 0.241
Os1 Os 0.000 0.000 0.500
```

=====

Entry 11:
The following is a PBE calculation of a relaxed structure of Ni2HgOs, from Alexandria.

## Properties
Its calculated volume is 14.3 A^3/atom. Its formation energy is 0.33 eV/atom. Its total magnetization is 0.00 μB/atom.

The structure in CIF format:
```
data_Ni2HgOs
_chemical_formula_sum 'Ni2 Hg1 Os1'
_cell_length_a 2.750
_cell_length_b 3.542
_cell_length_c 5.867
_cell_angle_alpha 90.00
_cell_angle_beta 90.00
_cell_angle_gamma 90.00
_space_group_name_H-M_alt 'P m m m'
_space_group_IT_number 47
_space_group_name_Hall '-P 2 2'
loop_
_atom_site_label
_atom_site_type_symbol
_atom_site_fract_x
_atom_site_fract_y
_atom_site_fract_z
Ni1 Ni 0.000 0.000 0.211
Hg1 Hg 0.500 0.500 0.500
Os1 Os 0.500 0.500 0.000
```

=====

Entry 12:
The following is a PBE calculation of a relaxed structure of NiHgOs2, from Alexandria.

## Properties
Its calculated volume is 16.7 A^3/atom. Its formation energy is 1.10 eV/atom. Its total magnetization is 0.00 μB/atom.

The structure in CIF format:
```
data_NiHgOs2
_chemical_formula_sum 'Ni4 Hg4 Os8'
_cell_length_a 7.414
_cell_length_b 7.414
_cell_length_c 4.858
_cell_angle_alpha 90.00
_cell_angle_beta 90.00
_cell_angle_gamma 90.00
_space_group_name_H-M_alt 'I -4 2 d'
_space_group_IT_number 122
_space_group_name_Hall 'I -4 2bw'
loop_
_atom_site_label
_atom_site_type_symbol
_atom_site_fract_x
_atom_site_fract_y
_atom_site_fract_z
Ni1 Ni 0.000 0.000 0.000
Hg1 Hg 0.000 0.000 0.500
Os1 Os 0.190 0.750 0.125
```

=====

Entry 13:
The following is a PBE calculation of a relaxed structure of NiHgOsPb2, from Alexandria.

## Properties
Its calculated volume is 32.2 A^3/atom. Its formation energy is 1.93 eV/atom. Its total magnetization is 0.57 μB/atom.

The structure in CIF format:
```
data_NiHgOsPb2
_chemical_formula_sum 'Ni1 Hg1 Os1 Pb2'
_cell_length_a 5.606
_cell_length_b 5.606
_cell_length_c 5.123
_cell_angle_alpha 90.00
_cell_angle_beta 90.00
_cell_angle_gamma 90.00
_space_group_name_H-M_alt 'P 4/m m m'
_space_group_IT_number 123
_space_group_name_Hall '-P 4 2'
loop_
_atom_site_label
_atom_site_type_symbol
_atom_site_fract_x
_atom_site_fract_y
_atom_site_fract_z
Ni1 Ni 0.000 0.000 0.000
Hg1 Hg 0.500 0.500 0.500
Os1 Os 0.500 0.500 0.000
Pb1 Pb 0.000 0.500 0.500
```

=====

Entry 14:
The following is a PBE calculation of a relaxed structure of NiHg2OsPd, from Alexandria.

## Properties
Its calculated volume is 25.6 A^3/atom. Its formation energy is 1.61 eV/atom. Its total magnetization is 0.68 μB/atom.

The structure in CIF format:
```
data_NiHg2OsPd
_chemical_formula_sum 'Ni1 Hg2 Os1 Pd1'
_cell_length_a 5.070
_cell_length_b 5.070
_cell_length_c 4.972
_cell_angle_alpha 90.00
_cell_angle_beta 90.00
_cell_angle_gamma 90.00
_space_group_name_H-M_alt 'P 4/m m m'
_space_group_IT_number 123
_space_group_name_Hall '-P 4 2'
loop_
_atom_site_label
_atom_site_type_symbol
_atom_site_fract_x
_atom_site_fract_y
_atom_site_fract_z
Ni1 Ni 0.000 0.000 0.000
Hg1 Hg 0.000 0.500 0.500
Os1 Os 0.500 0.500 0.000
Pd1 Pd 0.500 0.500 0.500
```

=====

Entry 15:
The following is a PBE calculation of a relaxed structure of NiHgOs2Pt, from Alexandria.

## Properties
Its calculated volume is 21.3 A^3/atom. Its formation energy is 1.96 eV/atom. Its total magnetization is 0.57 μB/atom.

The structure in CIF format:
```
data_NiHgOs2Pt
_chemical_formula_sum 'Ni1 Hg1 Os2 Pt1'
_cell_length_a 4.789
_cell_length_b 4.789
_cell_length_c 4.638
_cell_angle_alpha 90.00
_cell_angle_beta 90.00
_cell_angle_gamma 90.00
_space_group_name_H-M_alt 'P 4/m m m'
_space_group_IT_number 123
_space_group_name_Hall '-P 4 2'
loop_
_atom_site_label
_atom_site_type_symbol
_atom_site_fract_x
_atom_site_fract_y
_atom_site_fract_z
Ni1 Ni 0.000 0.000 0.000
Hg1 Hg 0.500 0.500 0.000
Os1 Os 0.000 0.500 0.500
Pt1 Pt 0.000 0.000 0.500
```